Entry 1:
A plane-wave DFT calculation with PBE was carried out for crystalline ZrScGa2 at its relaxed geometry.

formation enthalpy at 0 K = -538 meV/atom
symmetry = No. 123
ρ = 6.1 g/cm³
distance to the lowest polymorph of the same formula = 65 meV per atom

a = 3.9477 Å, b = 4.3733 Å, c = 4.3733 Å
α = 90.00°, β = 90.00°, γ = 90.00°
Closest atoms and distances in Å follow each position.
Sites, in units of the cell vectors:
Sc: 0.5000 0.5000 0.5000  8 Ga 2.95, 4 Zr 3.09
Ga: 0.0000 0.0000 0.5000  4 Sc 2.95, 4 Zr 2.95, 4 Ga 3.09
Ga: 0.0000 0.5000 0.0000  4 Sc 2.95, 4 Zr 2.95, 4 Ga 3.09
Zr: 0.5000 0.0000 0.0000  8 Ga 2.95, 4 Sc 3.09

=====

Entry 2:
A plane-wave DFT calculation with PBE was carried out for crystalline Nd7Te4S4 at its relaxed geometry.

raw formation energy = -1.612 eV per atom
symmetry = No. 139
ρ = 6.6 g/cm³

a = 7.1626 Å, b = 11.3312 Å, c = 11.3312 Å
α = 84.27°, β = 71.58°, γ = 71.58°
Closest atoms and distances in Å follow each position.
Sites, in units of the cell vectors:
Nd: 0.5000 0.6167 0.3833  4 S 2.91, 1 Te 3.12
Nd: 0.5000 0.3833 0.6167  4 S 2.91, 1 Te 3.12
Nd: 0.1167 0.3833 0.3833  4 S 2.91, 1 Te 3.12
Nd: 0.8833 0.6167 0.6167  4 S 2.91, 1 Te 3.12
Nd: 0.7513 0.0000 0.0000  8 Te 3.25-3.33, 2 Nd 3.56-3.60
Nd: 0.2487 0.0000 0.0000  8 Te 3.25-3.33, 2 Nd 3.56-3.60
Nd: 0.7126 0.5747 0.0000  4 S 2.95, 2 Te 3.28
Nd: 0.2874 0.4253 0.0000  4 S 2.95, 2 Te 3.28
Nd: 0.2874 0.0000 0.4253  4 S 2.95, 2 Te 3.28
Nd: 0.7126 0.0000 0.5747  4 S 2.95, 2 Te 3.28
Nd: 0.0000 0.2862 0.7138  4 S 3.04, 2 Te 3.09
Nd: 0.0000 0.7138 0.2862  4 S 3.04, 2 Te 3.09
Nd: 0.2862 0.7138 0.7138  4 S 3.04, 2 Te 3.09
Nd: 0.7138 0.2862 0.2862  4 S 3.04, 2 Te 3.09
Te: 0.8689 0.2622 0.0000  5 Nd 3.09-3.36
Te: 0.1311 0.7378 0.0000  5 Nd 3.09-3.36
Te: 0.1311 0.0000 0.7378  5 Nd 3.09-3.36
Te: 0.8689 0.0000 0.2622  5 Nd 3.09-3.36
Te: 0.5000 0.8222 0.1778  5 Nd 3.12-3.28
Te: 0.5000 0.1778 0.8222  5 Nd 3.12-3.28
Te: 0.3222 0.1778 0.1778  5 Nd 3.12-3.28
Te: 0.6778 0.8222 0.8222  5 Nd 3.12-3.28
S: 0.1023 0.7953 0.5000  6 Nd 2.91-3.04
S: 0.3977 0.2047 0.5000  6 Nd 2.91-3.04
S: 0.3977 0.5000 0.2047  6 Nd 2.91-3.04
S: 0.1023 0.5000 0.7953  6 Nd 2.91-3.04
S: 0.8977 0.5000 0.2047  6 Nd 2.91-3.04
S: 0.6023 0.5000 0.7953  6 Nd 2.91-3.04
S: 0.6023 0.7953 0.5000  6 Nd 2.91-3.04
S: 0.8977 0.2047 0.5000  6 Nd 2.91-3.04

=====

Entry 3:
A plane-wave DFT calculation with PBE was carried out for crystalline Rb2Y2NpS6 at its relaxed geometry.

raw formation energy = -1.716 eV per atom
symmetry = No. 12
ρ = 3.9 g/cm³

a = 6.9798 Å, b = 6.9798 Å, c = 8.2132 Å
α = 98.32°, β = 98.32°, γ = 119.90°
Closest atoms and distances in Å follow each position.
Sites, in units of the cell vectors:
Rb: 0.8310 0.1690 0.0000  6 S 3.39
Rb: 0.1690 0.8310 0.0000  6 S 3.39
Y: 0.3337 0.6663 0.5000  6 S 2.76-2.77
Y: 0.6663 0.3337 0.5000  6 S 2.76-2.77
Np: 0.0000 0.0000 0.5000  6 S 2.70-2.72
S: 0.7374 0.7374 0.6858  1 Np 2.70, 2 Y 2.77
S: 0.0614 0.3904 0.6860  1 Np 2.72, 2 Y 2.76-2.77
S: 0.2626 0.2626 0.3142  1 Np 2.70, 2 Y 2.77
S: 0.3904 0.0614 0.6860  1 Np 2.72, 2 Y 2.76-2.77
S: 0.9386 0.6096 0.3140  1 Np 2.72, 2 Y 2.76-2.77
S: 0.6096 0.9386 0.3140  1 Np 2.72, 2 Y 2.76-2.77

=====

Entry 4:
A plane-wave DFT calculation with PBE was carried out for crystalline LiCoPd6 at its relaxed geometry.

formation enthalpy at 0 K = -96 meV/atom
symmetry = No. 123
ρ = 10.0 g/cm³
distance to the lowest polymorph of the same formula = 0 meV per atom

a = 3.8779 Å, b = 3.8779 Å, c = 7.7576 Å
α = 90.00°, β = 90.00°, γ = 90.00°
Closest atoms and distances in Å follow each position.
Sites, in units of the cell vectors:
Li: 0.0000 0.0000 0.0000  12 Pd 2.74-2.76
Co: 0.0000 0.0000 0.5000  12 Pd 2.72-2.74
Pd: 0.5000 0.5000 0.0000  4 Li 2.74, 8 Pd 2.76
Pd: 0.5000 0.5000 0.5000  8 Pd 2.72, 4 Co 2.74
Pd: 0.5000 0.0000 0.2539  2 Co 2.72, 8 Pd 2.72-2.76, 2 Li 2.76
Pd: 0.5000 0.0000 0.7461  8 Pd 2.72-2.76, 2 Co 2.72, 2 Li 2.76
Pd: 0.0000 0.5000 0.2539  2 Co 2.72, 8 Pd 2.72-2.76, 2 Li 2.76
Pd: 0.0000 0.5000 0.7461  2 Co 2.72, 8 Pd 2.72-2.76, 2 Li 2.76

=====

Repeat the first record exactly.
A plane-wave DFT calculation with PBE was carried out for crystalline ZrScGa2 at its relaxed geometry.

formation enthalpy at 0 K = -538 meV/atom
symmetry = No. 123
ρ = 6.1 g/cm³
distance to the lowest polymorph of the same formula = 65 meV per atom

a = 3.9477 Å, b = 4.3733 Å, c = 4.3733 Å
α = 90.00°, β = 90.00°, γ = 90.00°
Closest atoms and distances in Å follow each position.
Sites, in units of the cell vectors:
Sc: 0.5000 0.5000 0.5000  8 Ga 2.95, 4 Zr 3.09
Ga: 0.0000 0.0000 0.5000  4 Sc 2.95, 4 Zr 2.95, 4 Ga 3.09
Ga: 0.0000 0.5000 0.0000  4 Sc 2.95, 4 Zr 2.95, 4 Ga 3.09
Zr: 0.5000 0.0000 0.0000  8 Ga 2.95, 4 Sc 3.09

=====

Question: Which of these has the highest ρ?
Answer: LiCoPd6

=====

Question: Which of these has the highest ρ?
Answer: LiCoPd6